# ZrAgTe2Ir

ZrAgTe2Ir after structural relaxation (PBE, Alexandria via LeMat-Bulk).

extended XYZ file:
```
5
Lattice="-2.7617 -4.1507 -1.7328 -1.2363 -1.1541 4.7347 -4.3065 3.0269 -0.3867" Properties=species:S:1:pos:R:3 pbc="T T T"
Ir 0.0000 0.0000 0.0000
Te -2.1533 1.5134 -0.1934
Te -1.3809 -2.0753 -0.8664
Zr -0.6181 -0.5770 2.3674
Ag -4.1523 -1.1389 1.3076
```

## Properties
Spin magnetization: 0.000 Bohr magnetons per cell
Fermi-level density of states: 0.779 states/eV per atom
E_form (uncorrected): 0.49 eV/atom
VASP energy: -4.819 eV per atom
Calculated density: 7.665 g/cm³